No. 1
Computed, not measured: an optimized crystal structure of KLiOsRu2 at the GGA-PBE level of DFT.

Cell: 4.441 4.441 4.058 Å, 90.00 90.00 90.00°
Sites, in units of the cell vectors:
K 0.000 0.000 0.000
Li 0.000 0.000 0.500
Os 0.500 0.500 0.000
Ru 0.000 0.500 0.500
Ru 0.500 0.000 0.500

Summary:
* calculated formation energy: 1.8508 eV per atom
* E_tot: -4.71 eV/atom
* DOS(E_F): 1.185 states/eV per atom
* SG: No. 123

No. 2
Computed, not measured: an optimized crystal structure of TbTm3Sb2 at the GGA-PBE level of DFT.

Cell: 9.278 9.278 9.643 Å, 112.86 112.86 26.49°
Sites, in units of the cell vectors:
Tb 0.110 0.110 0.116
Tb 0.890 0.890 0.884
Tm 0.056 0.056 0.674
Tm 0.312 0.312 0.109
Tm 0.358 0.358 0.523
Tm 0.642 0.642 0.477
Tm 0.688 0.688 0.891
Tm 0.944 0.944 0.326
Sb 0.250 0.250 0.718
Sb 0.490 0.490 0.155
Sb 0.510 0.510 0.845
Sb 0.750 0.750 0.282

Summary:
* energy relative to the elements, uncorrected: -0.66 eV/atom
* E_tot: -5.04 eV/atom
* DOS(E_F): 0.935 states/eV per atom
* SG: No. 12